This record from the Alexandria database describes a relaxed structure of FeCuRh4. The functional is GGA-PBE.

Computed properties:
Raw total energy   -6.96 eV/atom
Relative energy among the computed polymorphs   0.0 meV per atom
V   13.606 Å³/atom
D(E_F)   1.5026 states/eV per atom

a = 2.7134 Å, b = 2.7134 Å, c = 11.0877 Å
α = 90.00°, β = 90.00°, γ = 90.00°
Space group P4/mmm (No. 123)
Inequivalent atoms, fractional coordinates:
Fe 0.0000 0.0000 0.0000 [1 per cell]
Cu 0.5000 0.5000 0.5000 [1 per cell]
Rh 0.0000 0.0000 0.3346 [2 per cell]
Rh 0.5000 0.5000 0.1623 [2 per cell]



This record from the Alexandria database describes a relaxed structure of FeCu2Rh. The functional is GGA-PBE.

Computed properties:
Raw total energy   -5.93 eV/atom
V   12.794 Å³/atom
D(E_F)   0.9051 states/eV per atom

a = 2.6432 Å, b = 2.6432 Å, c = 25.3739 Å
α = 90.00°, β = 90.00°, γ = 120.00°
Space group R3m (No. 160, hexagonal axes)
Inequivalent atoms, fractional coordinates:
Fe 0.0000 0.0000 0.0000 [3 per cell]
Cu 0.0000 0.0000 0.2511 [3 per cell]
Cu 0.0000 0.0000 0.5033 [3 per cell]
Rh 0.0000 0.0000 0.7496 [3 per cell]



This record from the Alexandria database describes a relaxed structure of FeCu2Rh. The functional is GGA-PBE.

Computed properties:
Raw total energy   -5.93 eV/atom
V   12.732 Å³/atom
D(E_F)   0.9493 states/eV per atom

a = 8.5770 Å, b = 2.7058 Å, c = 4.4807 Å
α = 90.00°, β = 101.61°, γ = 90.00°
Space group Cm (No. 8)
Inequivalent atoms, fractional coordinates:
Fe 0.0000 0.0000 0.0000 [2 per cell]
Cu 0.2486 0.5000 0.2685 [2 per cell]
Cu 0.4963 0.0000 0.4916 [2 per cell]
Rh 0.2491 0.0000 0.7704 [2 per cell]



This record from the Alexandria database describes a relaxed structure of Fe2CuRh3. The functional is GGA-PBE.

Computed properties:
Raw total energy   -7.16 eV/atom
V   13.163 Å³/atom
D(E_F)   1.5451 states/eV per atom

a = 2.7068 Å, b = 2.7068 Å, c = 10.7796 Å
α = 90.00°, β = 90.00°, γ = 90.00°
Space group P4/mmm (No. 123)
Inequivalent atoms, fractional coordinates:
Fe 0.0000 0.0000 0.1669 [2 per cell]
Cu 0.0000 0.0000 0.5000 [1 per cell]
Rh 0.5000 0.5000 0.0000 [1 per cell]
Rh 0.5000 0.5000 0.3280 [2 per cell]



This record from the Alexandria database describes a relaxed structure of FeCu4Rh. The functional is GGA-PBE.

Computed properties:
Raw total energy   -5.23 eV/atom
V   12.594 Å³/atom
D(E_F)   0.5577 states/eV per atom

a = 6.7110 Å, b = 6.7110 Å, c = 6.7110 Å
α = 90.00°, β = 90.00°, γ = 90.00°
Space group F-43m (No. 216)
Inequivalent atoms, fractional coordinates:
Fe 0.0000 0.0000 0.0000 [4 per cell]
Cu 0.1250 0.1250 0.3750 [16 per cell]
Rh 0.2500 0.2500 0.7500 [4 per cell]



This record from the Alexandria database describes a relaxed structure of Fe2CuRh. The functional is GGA-PBE.

Computed properties:
Raw total energy   -7.03 eV/atom
V   12.631 Å³/atom
D(E_F)   1.0330 states/eV per atom

a = 2.6798 Å, b = 3.5843 Å, c = 5.2633 Å
α = 90.00°, β = 91.95°, γ = 90.00°
Space group Pm (No. 6)
Inequivalent atoms, fractional coordinates:
Fe 0.0000 0.0000 0.0000 [1 per cell]
Fe 0.4936 0.5000 0.2512 [1 per cell]
Cu 0.5008 0.5000 0.7605 [1 per cell]
Rh 0.9969 0.0000 0.4960 [1 per cell]



This record from the Alexandria database describes a relaxed structure of FeCu2Rh. The functional is GGA-PBE.

Computed properties:
Raw total energy   -5.87 eV/atom
V   12.882 Å³/atom
D(E_F)   0.8528 states/eV per atom

a = 5.0649 Å, b = 8.8107 Å, c = 2.5930 Å
α = 90.00°, β = 117.05°, γ = 90.00°
Space group C2/m (No. 12)
Inequivalent atoms, fractional coordinates:
Fe 0.0000 0.0000 0.0000 [2 per cell]
Cu 0.2500 0.2500 0.5000 [4 per cell]
Rh 0.0000 0.5000 0.0000 [2 per cell]



This record from the Alexandria database describes a relaxed structure of FeCu2Rh. The functional is GGA-PBE.

Computed properties:
Raw total energy   -5.96 eV/atom
V   12.738 Å³/atom
D(E_F)   0.7967 states/eV per atom

a = 2.6904 Å, b = 3.5628 Å, c = 5.3158 Å
α = 90.00°, β = 90.21°, γ = 90.00°
Space group Pm (No. 6)
Inequivalent atoms, fractional coordinates:
Fe 0.0000 0.0000 0.0000 [1 per cell]
Cu 0.9996 0.0000 0.5134 [1 per cell]
Cu 0.5001 0.5000 0.7438 [1 per cell]
Rh 0.5000 0.5000 0.2435 [1 per cell]



Table of energy relative to the elements (eV/atom), in record order: 0.037; 0.070; 0.070; 0.018; 0.136; 0.068; 0.132; 0.038